[1]
This record from Alexandria describes a relaxed structure of SiP2W. The functional is PBE.

Summary:
E_tot in eV per atom: -6.864

CIF file:
```
data_SiP2W
_symmetry_space_group_name_H-M 'C m m 2'
_symmetry_Int_Tables_number 35
_symmetry_space_group_name_Hall 'C 2 -2'
_cell_length_a 3.3607
_cell_length_b 4.6428
_cell_length_c 9.0257
_cell_angle_alpha 90.00
_cell_angle_beta 90.00
_cell_angle_gamma 90.00
loop_
_atom_site_label
_atom_site_fract_x
_atom_site_fract_y
_atom_site_fract_z
Si1 0.0000 0.0000 0.0000
P1 0.0000 0.0000 0.4222
P2 0.0000 0.5000 0.8236
W1 0.0000 0.5000 0.2274
```

---

[2]
This record from Alexandria describes a relaxed structure of SiPW. The functional is PBE.

Summary:
ΔE to the lowest computed polymorph in meV/atom: 517

CIF file:
```
data_SiPW
_symmetry_space_group_name_H-M 'F m m 2'
_symmetry_Int_Tables_number 42
_symmetry_space_group_name_Hall 'F 2 -2'
_cell_length_a 3.2243
_cell_length_b 4.5896
_cell_length_c 12.1311
_cell_angle_alpha 90.00
_cell_angle_beta 90.00
_cell_angle_gamma 90.00
loop_
_atom_site_label
_atom_site_fract_x
_atom_site_fract_y
_atom_site_fract_z
Si1 0.0000 0.0000 0.0000
P1 0.0000 0.0000 0.3229
W1 0.0000 0.0000 0.6681
```

---

[3]
This record from Alexandria describes a relaxed structure of SiP2W. The functional is PBE.

Summary:
E_tot in eV per atom: -7.132

CIF file:
```
data_SiP2W
_symmetry_space_group_name_H-M 'R 3 m'
_symmetry_Int_Tables_number 160
_symmetry_space_group_name_Hall 'R 3 -2"'
_cell_length_a 3.1682
_cell_length_b 3.1682
_cell_length_c 20.4233
_cell_angle_alpha 90.00
_cell_angle_beta 90.00
_cell_angle_gamma 120.00
loop_
_atom_site_label
_atom_site_fract_x
_atom_site_fract_y
_atom_site_fract_z
Si1 0.0000 0.0000 0.0000
P1 0.0000 0.0000 0.2608
P2 0.0000 0.0000 0.5077
W1 0.0000 0.0000 0.7610
```

---

[4]
This record from Alexandria describes a relaxed structure of SiP2W. The functional is PBE.

Summary:
E_tot in eV per atom: -7.021

CIF file:
```
data_SiP2W
_symmetry_space_group_name_H-M 'I -4 2 d'
_symmetry_Int_Tables_number 122
_symmetry_space_group_name_Hall 'I -4 2bw'
_cell_length_a 5.5324
_cell_length_b 5.5324
_cell_length_c 10.0364
_cell_angle_alpha 90.00
_cell_angle_beta 90.00
_cell_angle_gamma 90.00
loop_
_atom_site_label
_atom_site_fract_x
_atom_site_fract_y
_atom_site_fract_z
Si1 0.0000 0.0000 0.0000
P1 0.2356 0.2500 0.1250
W1 0.0000 0.0000 0.5000
```